(1)
Here is crystalline MgMn2Be at its relaxed geometry from Alexandria. Energies are from PBE-GGA.

## Properties
Space-group type = Cm (8)

CIF file:
```
data_MgMn2Be
_symmetry_space_group_name_H-M 'P 1'
_symmetry_Int_Tables_number 1
_cell_length_a 4.239
_cell_length_b 4.239
_cell_length_c 4.928
_cell_angle_alpha 83.35
_cell_angle_beta 83.35
_cell_angle_gamma 36.12
loop_
_symmetry_equiv_pos_as_xyz
'x,y,z'
loop_
_atom_site_label
_atom_site_fract_x
_atom_site_fract_y
_atom_site_fract_z
_atom_site_occupancy
Mn1 0.007 0.007 0.937 1
Mg1 0.246 0.246 0.268 1
Mn2 0.757 0.757 0.758 1
Be1 0.490 0.490 0.537 1
```

---

(2)
Here is crystalline MgMn2Be at its relaxed geometry from Alexandria. Energies are from PBE-GGA.

## Properties
Space-group type = P4/mmm (123)

CIF file:
```
data_MgMn2Be
_symmetry_space_group_name_H-M 'P 1'
_symmetry_Int_Tables_number 1
_cell_length_a 3.906
_cell_length_b 3.906
_cell_length_c 3.443
_cell_angle_alpha 90.00
_cell_angle_beta 90.00
_cell_angle_gamma 90.02
loop_
_symmetry_equiv_pos_as_xyz
'x,y,z'
loop_
_atom_site_label
_atom_site_fract_x
_atom_site_fract_y
_atom_site_fract_z
_atom_site_occupancy
Mn1 0.500 0.500 0.000 1
Mg1 0.000 0.500 0.500 1
Mn2 0.000 0.000 0.000 1
Be1 0.500 0.000 0.500 1
```

---

Least stable of them? (2).

---

(1)
Here is crystalline MgMn2Be at its relaxed geometry from Alexandria. Energies are from PBE-GGA.

## Properties
Space-group type = Fm-3m (225)

CIF file:
```
data_MgMn2Be
_symmetry_space_group_name_H-M 'P 1'
_symmetry_Int_Tables_number 1
_cell_length_a 4.164
_cell_length_b 4.164
_cell_length_c 4.164
_cell_angle_alpha 60.00
_cell_angle_beta 60.00
_cell_angle_gamma 60.00
loop_
_symmetry_equiv_pos_as_xyz
'x,y,z'
loop_
_atom_site_label
_atom_site_fract_x
_atom_site_fract_y
_atom_site_fract_z
_atom_site_occupancy
Mn1 0.750 0.750 0.750 1
Be1 0.000 0.000 0.000 1
Mg1 0.500 0.500 0.500 1
Mn2 0.250 0.250 0.250 1
```

---

(2)
Here is crystalline MgMn2Be at its relaxed geometry from Alexandria. Energies are from PBE-GGA.

## Properties
Space-group type = F-43m (216)

CIF file:
```
data_MgMn2Be
_symmetry_space_group_name_H-M 'P 1'
_symmetry_Int_Tables_number 1
_cell_length_a 4.115
_cell_length_b 4.115
_cell_length_c 4.115
_cell_angle_alpha 120.03
_cell_angle_beta 120.03
_cell_angle_gamma 89.95
loop_
_symmetry_equiv_pos_as_xyz
'x,y,z'
loop_
_atom_site_label
_atom_site_fract_x
_atom_site_fract_y
_atom_site_fract_z
_atom_site_occupancy
Mn1 0.000 0.000 0.000 1
Be1 0.500 0.500 0.000 1
Mn2 0.250 0.750 0.500 1
Mg1 0.750 0.250 0.500 1
```

---

Least stable of them? (1).

---

(1)
Here is crystalline MgMn2Be at its relaxed geometry from Alexandria. Energies are from PBE-GGA.

## Properties
Space-group type = Pm (6)

CIF file:
```
data_MgMn2Be
_symmetry_space_group_name_H-M 'P 1'
_symmetry_Int_Tables_number 1
_cell_length_a 3.843
_cell_length_b 2.603
_cell_length_c 5.187
_cell_angle_alpha 77.99
_cell_angle_beta 90.00
_cell_angle_gamma 90.00
loop_
_symmetry_equiv_pos_as_xyz
'x,y,z'
loop_
_atom_site_label
_atom_site_fract_x
_atom_site_fract_y
_atom_site_fract_z
_atom_site_occupancy
Mn1 0.000 0.041 0.056 1
Mg1 0.500 0.750 0.740 1
Be1 0.000 0.473 0.463 1
Mn2 0.500 0.235 0.241 1
```

---

(2)
Here is crystalline MgMn2Be at its relaxed geometry from Alexandria. Energies are from PBE-GGA.

## Properties
Space-group type = P4mm (99)

CIF file:
```
data_MgMn2Be
_symmetry_space_group_name_H-M 'P 1'
_symmetry_Int_Tables_number 1
_cell_length_a 2.803
_cell_length_b 2.803
_cell_length_c 6.171
_cell_angle_alpha 90.00
_cell_angle_beta 90.00
_cell_angle_gamma 90.00
loop_
_symmetry_equiv_pos_as_xyz
'x,y,z'
loop_
_atom_site_label
_atom_site_fract_x
_atom_site_fract_y
_atom_site_fract_z
_atom_site_occupancy
Mn1 0.000 0.000 0.053 1
Mn2 0.500 0.500 0.253 1
Mg1 0.500 0.500 0.744 1
Be1 0.000 0.000 0.450 1
```

---

Least stable of them? (1).

---

(1)
Here is crystalline MgMnBe at its relaxed geometry from Alexandria. Energies are from PBE-GGA.

## Properties
Space-group type = F-43m (216)

CIF file:
```
data_MgMnBe
_symmetry_space_group_name_H-M 'P 1'
_symmetry_Int_Tables_number 1
_cell_length_a 4.039
_cell_length_b 4.039
_cell_length_c 4.039
_cell_angle_alpha 60.00
_cell_angle_beta 60.00
_cell_angle_gamma 60.00
loop_
_symmetry_equiv_pos_as_xyz
'x,y,z'
loop_
_atom_site_label
_atom_site_fract_x
_atom_site_fract_y
_atom_site_fract_z
_atom_site_occupancy
Be1 0.750 0.750 0.750 1
Mg1 0.000 0.000 0.000 1
Mn1 0.500 0.500 0.500 1
```

---

(2)
Here is crystalline MgMnBe at its relaxed geometry from Alexandria. Energies are from PBE-GGA.

## Properties
Space-group type = P3m1 (156)

CIF file:
```
data_MgMnBe
_symmetry_space_group_name_H-M 'P 1'
_symmetry_Int_Tables_number 1
_cell_length_a 4.146
_cell_length_b 4.146
_cell_length_c 2.740
_cell_angle_alpha 90.00
_cell_angle_beta 90.00
_cell_angle_gamma 120.00
loop_
_symmetry_equiv_pos_as_xyz
'x,y,z'
loop_
_atom_site_label
_atom_site_fract_x
_atom_site_fract_y
_atom_site_fract_z
_atom_site_occupancy
Mn1 0.333 0.667 0.709 1
Be1 0.000 0.000 0.014 1
Mg1 0.667 0.333 0.277 1
```

---

Least stable of them? (1).

---

(1)
Here is crystalline MgMn2Be2 at its relaxed geometry from Alexandria. Energies are from PBE-GGA.

## Properties
Space-group type = P4/mbm (127)

CIF file:
```
data_MgMn2Be2
_symmetry_space_group_name_H-M 'P 1'
_symmetry_Int_Tables_number 1
_cell_length_a 6.484
_cell_length_b 6.484
_cell_length_c 2.794
_cell_angle_alpha 90.00
_cell_angle_beta 90.00
_cell_angle_gamma 90.00
loop_
_symmetry_equiv_pos_as_xyz
'x,y,z'
loop_
_atom_site_label
_atom_site_fract_x
_atom_site_fract_y
_atom_site_fract_z
_atom_site_occupancy
Be1 0.883 0.617 0.000 1
Be2 0.383 0.883 0.000 1
Be3 0.117 0.383 0.000 1
Mg1 0.000 0.000 0.000 1
Mn1 0.172 0.672 0.500 1
Be4 0.617 0.117 0.000 1
Mn2 0.828 0.328 0.500 1
Mg2 0.500 0.500 0.000 1
Mn3 0.672 0.828 0.500 1
Mn4 0.328 0.172 0.500 1
```

---

(2)
Here is crystalline MgMn2Be2 at its relaxed geometry from Alexandria. Energies are from PBE-GGA.

## Properties
Space-group type = P4/mbm (127)

CIF file:
```
data_MgMn2Be2
_symmetry_space_group_name_H-M 'P 1'
_symmetry_Int_Tables_number 1
_cell_length_a 6.722
_cell_length_b 6.722
_cell_length_c 2.536
_cell_angle_alpha 90.00
_cell_angle_beta 90.00
_cell_angle_gamma 90.00
loop_
_symmetry_equiv_pos_as_xyz
'x,y,z'
loop_
_atom_site_label
_atom_site_fract_x
_atom_site_fract_y
_atom_site_fract_z
_atom_site_occupancy
Mn1 0.392 0.892 0.000 1
Be1 0.318 0.182 0.500 1
Mn2 0.108 0.392 0.000 1
Mg1 0.500 0.500 0.000 1
Be2 0.182 0.682 0.500 1
Mn3 0.608 0.108 0.000 1
Be3 0.682 0.818 0.500 1
Mg2 0.000 0.000 0.000 1
Be4 0.818 0.318 0.500 1
Mn4 0.892 0.608 0.000 1
```

---

Least stable of them? (2).